Density functional theory data (PBE with a Hubbard U) for KNa2CrO4 after structural relaxation.

a b c (Å): 5.795 5.795 5.554
angles (deg): 121.43 121.43 90.02
Each line ends with the local moment (μB).
Sites, in units of the cell vectors:
O: 0.807 0.462 0.269  -0.02
Na: 0.750 0.250 0.500  0.00
Cr: 0.500 0.500 0.000  1.07
K: 0.000 0.000 0.000  0.00
O: 0.538 0.538 0.731  -0.02
Na: 0.250 0.750 0.500  0.00
O: 0.462 0.807 0.269  -0.02
O: 0.193 0.193 0.731  -0.02

Computed properties:
- space-group type = No. 121
- magnetic moment (μB/cell) = 1.00
- DFT total energy (eV/atom) = -5.528